(1)
# Na3Tm3MnSe8

Crystalline Na3Tm3MnSe8 at its relaxed geometry (PBE, the Alexandria database).

Cell and atoms, written as CIF:
```
data_Na3Tm3MnSe8
_chemical_formula_sum 'Na3 Tm3 Mn1 Se8'
_cell_length_a 7.9921
_cell_length_b 7.9939
_cell_length_c 8.4675
_cell_angle_alpha 118.22
_cell_angle_beta 90.00
_cell_angle_gamma 119.99
_space_group_name_H-M_alt 'P 1'
_space_group_IT_number 1
_space_group_name_Hall 'P 1'
loop_
_atom_site_label
_atom_site_type_symbol
_atom_site_fract_x
_atom_site_fract_y
_atom_site_fract_z
Na1 Na 0.0000 0.0000 0.0000
Na2 Na 0.0000 0.5000 0.0000
Na3 Na 0.5000 0.5000 0.0000
Tm1 Tm 0.5000 0.0000 0.5000
Tm2 Tm 0.5000 0.5000 0.5000
Tm3 Tm 0.0000 0.5000 0.5000
Mn1 Mn 0.0000 0.0000 0.5000
Se1 Se 0.2574 0.5147 0.2723
Se2 Se 0.7426 0.4853 0.7277
Se3 Se 0.7777 0.5554 0.2897
Se4 Se 0.2223 0.4446 0.7103
Se5 Se 0.7778 0.0116 0.2897
Se6 Se 0.2222 0.9884 0.7103
Se7 Se 0.2338 0.0116 0.2897
Se8 Se 0.7662 0.9884 0.7103
```

Results
Total DFT energy (no corrections) (eV for the cell shown): -75.345
Formation energy (no corrections) (kJ/mol of atoms): -134.6
Size of the total moment (μB per formula unit): 3.00
Symmetry: R-3m (166)



(2)
# Th2Sn2Rh5

Crystalline Th2Sn2Rh5 at its relaxed geometry (PBE, the Alexandria database).

Cell and atoms, written as CIF:
```
data_Th2Sn2Rh5
_chemical_formula_sum 'Th2 Sn2 Rh5'
_cell_length_a 4.8787
_cell_length_b 6.7955
_cell_length_c 7.3704
_cell_angle_alpha 115.17
_cell_angle_beta 90.00
_cell_angle_gamma 111.04
_space_group_name_H-M_alt 'P 1'
_space_group_IT_number 1
_space_group_name_Hall 'P 1'
loop_
_atom_site_label
_atom_site_type_symbol
_atom_site_fract_x
_atom_site_fract_y
_atom_site_fract_z
Th1 Th 0.3641 0.7283 0.6596
Th2 Th 0.6359 0.2717 0.3404
Sn1 Sn 0.1563 0.3126 0.8501
Sn2 Sn 0.8437 0.6874 0.1499
Rh1 Rh 0.3992 0.7985 0.0471
Rh2 Rh 0.6008 0.2015 0.9529
Rh3 Rh 0.0989 0.1977 0.4517
Rh4 Rh 0.9011 0.8023 0.5483
Rh5 Rh 0.0000 0.0000 0.0000
```

Results
Total DFT energy (no corrections) (eV for the cell shown): -64.266
Size of the total moment (μB per formula unit): 0.00
Symmetry: C2/m (12)



(3)
# CdCuTc2

Crystalline CdCuTc2 at its relaxed geometry (PBE, the Alexandria database).

Cell and atoms, written as CIF:
```
data_CdCuTc2
_chemical_formula_sum 'Cd1 Cu1 Tc2'
_cell_length_a 2.8168
_cell_length_b 3.8229
_cell_length_c 5.7720
_cell_angle_alpha 90.00
_cell_angle_beta 90.00
_cell_angle_gamma 90.00
_space_group_name_H-M_alt 'P 1'
_space_group_IT_number 1
_space_group_name_Hall 'P 1'
loop_
_atom_site_label
_atom_site_type_symbol
_atom_site_fract_x
_atom_site_fract_y
_atom_site_fract_z
Cd1 Cd 0.0000 0.0000 0.5166
Cu1 Cu 0.5000 0.5000 0.7580
Tc1 Tc 0.0000 0.0000 0.0175
Tc2 Tc 0.5000 0.5000 0.2078
```

Results
Total DFT energy (no corrections) (eV for the cell shown): -24.688
Size of the total moment (μB per formula unit): 0.00
Symmetry: Pmm2 (25)



(4)
# CaTcC2

Crystalline CaTcC2 at its relaxed geometry (PBE, the Alexandria database).

Cell and atoms, written as CIF:
```
data_CaTcC2
_chemical_formula_sum 'Ca1 Tc1 C2'
_cell_length_a 3.0959
_cell_length_b 3.0959
_cell_length_c 6.1092
_cell_angle_alpha 75.32
_cell_angle_beta 75.32
_cell_angle_gamma 60.00
_space_group_name_H-M_alt 'P 1'
_space_group_IT_number 1
_space_group_name_Hall 'P 1'
loop_
_atom_site_label
_atom_site_type_symbol
_atom_site_fract_x
_atom_site_fract_y
_atom_site_fract_z
C1 C 0.2636 0.2636 0.2091
C2 C 0.7364 0.7364 0.7909
Ca1 Ca 0.5000 0.5000 0.5000
Tc1 Tc 0.0000 0.0000 0.0000
```

Results
Total DFT energy (no corrections) (eV for the cell shown): -28.924
Size of the total moment (μB per formula unit): 0.00
Symmetry: R-3m (166)



(5)
# MnTcRu2

Crystalline MnTcRu2 at its relaxed geometry (PBE, the Alexandria database).

Cell and atoms, written as CIF:
```
data_MnTcRu2
_chemical_formula_sum 'Mn1 Tc1 Ru2'
_cell_length_a 4.6563
_cell_length_b 4.6563
_cell_length_c 4.6563
_cell_angle_alpha 132.09
_cell_angle_beta 132.09
_cell_angle_gamma 70.09
_space_group_name_H-M_alt 'P 1'
_space_group_IT_number 1
_space_group_name_Hall 'P 1'
loop_
_atom_site_label
_atom_site_type_symbol
_atom_site_fract_x
_atom_site_fract_y
_atom_site_fract_z
Mn1 Mn 0.7500 0.2500 0.5000
Ru1 Ru 0.0000 0.0000 0.0000
Ru2 Ru 0.2500 0.7500 0.5000
Tc1 Tc 0.5000 0.5000 0.0000
```

Results
Total DFT energy (no corrections) (eV for the cell shown): -37.822
Size of the total moment (μB per formula unit): 1.14
Symmetry: I-4m2 (119)



(6)
# Na2Ag3As2

Crystalline Na2Ag3As2 at its relaxed geometry (PBE, the Alexandria database).

Cell and atoms, written as CIF:
```
data_Na2Ag3As2
_chemical_formula_sum 'Na2 Ag3 As2'
_cell_length_a 4.1826
_cell_length_b 3.5945
_cell_length_c 10.1475
_cell_angle_alpha 100.20
_cell_angle_beta 90.00
_cell_angle_gamma 90.00
_space_group_name_H-M_alt 'P 1'
_space_group_IT_number 1
_space_group_name_Hall 'P 1'
loop_
_atom_site_label
_atom_site_type_symbol
_atom_site_fract_x
_atom_site_fract_y
_atom_site_fract_z
Na1 Na 0.0000 0.8459 0.6918
Na2 Na 0.0000 0.1541 0.3082
Ag1 Ag 0.5000 0.5679 0.1359
Ag2 Ag 0.5000 0.4321 0.8641
Ag3 Ag 0.0000 0.0000 0.0000
As1 As 0.5000 0.7079 0.4158
As2 As 0.5000 0.2921 0.5842
```

Results
Total DFT energy (no corrections) (eV for the cell shown): -20.697
Size of the total moment (μB per formula unit): 0.00
Symmetry: Cmmm (65)



(7)
# Pa4SbAs2Se

Crystalline Pa4SbAs2Se at its relaxed geometry (PBE, the Alexandria database).

Cell and atoms, written as CIF:
```
data_Pa4SbAs2Se
_chemical_formula_sum 'Pa4 Sb1 As2 Se1'
_cell_length_a 4.1300
_cell_length_b 7.3407
_cell_length_c 7.1017
_cell_angle_alpha 70.89
_cell_angle_beta 90.00
_cell_angle_gamma 90.00
_space_group_name_H-M_alt 'P 1'
_space_group_IT_number 1
_space_group_name_Hall 'P 1'
loop_
_atom_site_label
_atom_site_type_symbol
_atom_site_fract_x
_atom_site_fract_y
_atom_site_fract_z
Pa1 Pa 0.0000 0.7676 0.7332
Pa2 Pa 0.0000 0.2324 0.2668
Pa3 Pa 0.5000 0.7605 0.2568
Pa4 Pa 0.5000 0.2395 0.7432
Sb1 Sb 0.5000 0.5000 0.0000
As1 As 0.0000 0.0000 0.0000
As2 As 0.5000 0.0000 0.5000
Se1 Se 0.0000 0.5000 0.5000
```

Results
Total DFT energy (no corrections) (eV for the cell shown): -62.303
Formation energy (no corrections) (kJ/mol of atoms): -89.4
Size of the total moment (μB per formula unit): 0.01
Symmetry: P2/m (10)



(8)
# LuThScIn

Crystalline LuThScIn at its relaxed geometry (PBE, the Alexandria database).

Cell and atoms, written as CIF:
```
data_LuThScIn
_chemical_formula_sum 'Lu1 Th1 Sc1 In1'
_cell_length_a 5.3155
_cell_length_b 5.3155
_cell_length_c 5.3155
_cell_angle_alpha 60.00
_cell_angle_beta 60.00
_cell_angle_gamma 60.00
_space_group_name_H-M_alt 'P 1'
_space_group_IT_number 1
_space_group_name_Hall 'P 1'
loop_
_atom_site_label
_atom_site_type_symbol
_atom_site_fract_x
_atom_site_fract_y
_atom_site_fract_z
Sc1 Sc 0.0000 0.0000 0.0000
Lu1 Lu 0.5000 0.5000 0.5000
Th1 Th 0.2500 0.2500 0.2500
In1 In 0.7500 0.7500 0.7500
```

Results
Total DFT energy (no corrections) (eV for the cell shown): -21.113
Size of the total moment (μB per formula unit): 1.38
Symmetry: F-43m (216)



(9)
# NaInGa2I

Crystalline NaInGa2I at its relaxed geometry (PBE, the Alexandria database).

Cell and atoms, written as CIF:
```
data_NaInGa2I
_chemical_formula_sum 'Na1 In1 Ga2 I1'
_cell_length_a 5.4947
_cell_length_b 5.7863
_cell_length_c 5.4947
_cell_angle_alpha 90.00
_cell_angle_beta 90.00
_cell_angle_gamma 90.00
_space_group_name_H-M_alt 'P 1'
_space_group_IT_number 1
_space_group_name_Hall 'P 1'
loop_
_atom_site_label
_atom_site_type_symbol
_atom_site_fract_x
_atom_site_fract_y
_atom_site_fract_z
I1 I 0.5000 0.5000 0.5000
Na1 Na 0.0000 0.0000 0.0000
Ga1 Ga 0.0000 0.0000 0.5000
Ga2 Ga 0.5000 0.0000 0.0000
In1 In 0.0000 0.5000 0.0000
```

Results
Total DFT energy (no corrections) (eV for the cell shown): -9.867
Formation energy (no corrections) (kJ/mol of atoms): 34.6
Size of the total moment (μB per formula unit): 0.00
Symmetry: P4/mmm (123)



(10)
# CeErMg2Hg2

Crystalline CeErMg2Hg2 at its relaxed geometry (PBE, the Alexandria database).

Cell and atoms, written as CIF:
```
data_CeErMg2Hg2
_chemical_formula_sum 'Ce1 Er1 Mg2 Hg2'
_cell_length_a 5.0371
_cell_length_b 5.0371
_cell_length_c 6.6356
_cell_angle_alpha 90.00
_cell_angle_beta 90.00
_cell_angle_gamma 120.00
_space_group_name_H-M_alt 'P 1'
_space_group_IT_number 1
_space_group_name_Hall 'P 1'
loop_
_atom_site_label
_atom_site_type_symbol
_atom_site_fract_x
_atom_site_fract_y
_atom_site_fract_z
Ce1 Ce 0.0000 0.0000 0.0000
Er1 Er 0.0000 0.0000 0.5000
Mg1 Mg 0.3333 0.6667 0.7437
Mg2 Mg 0.6667 0.3333 0.2563
Hg1 Hg 0.3333 0.6667 0.2503
Hg2 Hg 0.6667 0.3333 0.7497
```

Results
Total DFT energy (no corrections) (eV for the cell shown): -16.024
Size of the total moment (μB per formula unit): 1.00
Symmetry: P-3m1 (164)



(11)
# LiReNF2

Crystalline LiReNF2 at its relaxed geometry (PBE, the Alexandria database).

Cell and atoms, written as CIF:
```
data_LiReNF2
_chemical_formula_sum 'Li1 Re1 N1 F2'
_cell_length_a 4.2139
_cell_length_b 4.2139
_cell_length_c 3.8156
_cell_angle_alpha 90.00
_cell_angle_beta 90.00
_cell_angle_gamma 90.00
_space_group_name_H-M_alt 'P 1'
_space_group_IT_number 1
_space_group_name_Hall 'P 1'
loop_
_atom_site_label
_atom_site_type_symbol
_atom_site_fract_x
_atom_site_fract_y
_atom_site_fract_z
Re1 Re 0.0000 0.0000 0.0000
N1 N 0.0000 0.0000 0.5000
Li1 Li 0.5000 0.5000 0.5000
F1 F 0.0000 0.5000 0.0000
F2 F 0.5000 0.0000 0.0000
```

Results
Total DFT energy (no corrections) (eV for the cell shown): -30.953
Formation energy (no corrections) (kJ/mol of atoms): -87.3
Size of the total moment (μB per formula unit): 0.50
Symmetry: P4/mmm (123)



(12)
# LiY3Pt

Crystalline LiY3Pt at its relaxed geometry (PBE, the Alexandria database).

Cell and atoms, written as CIF:
```
data_LiY3Pt
_chemical_formula_sum 'Li1 Y3 Pt1'
_cell_length_a 5.4942
_cell_length_b 5.4942
_cell_length_c 5.4942
_cell_angle_alpha 90.00
_cell_angle_beta 90.00
_cell_angle_gamma 90.00
_space_group_name_H-M_alt 'P 1'
_space_group_IT_number 1
_space_group_name_Hall 'P 1'
loop_
_atom_site_label
_atom_site_type_symbol
_atom_site_fract_x
_atom_site_fract_y
_atom_site_fract_z
Y1 Y 0.0000 0.5000 0.0000
Y2 Y 0.0000 0.0000 0.5000
Y3 Y 0.5000 0.0000 0.0000
Pt1 Pt 0.0000 0.0000 0.0000
Li1 Li 0.5000 0.5000 0.5000
```

Results
Total DFT energy (no corrections) (eV for the cell shown): -28.813
Size of the total moment (μB per formula unit): 0.00
Symmetry: Pm-3m (221)